Record 1
Crystalline PrCrPd4 at its relaxed geometry. Source: Alexandria, functional PBE-GGA.

Results
Formation energy from the elements, meV per atom: -343
Raw total energy, eV per atom: -6.206

Unit cell a=5.3979 b=5.3979 c=5.3979 alpha=60.00 beta=60.00 gamma=60.00
Last column: nearest neighbours and their distance in Å.
Element x y z (fractional)
Pr 0.2500 0.2500 0.2500  12 Pd 3.17, 4 Cr 3.31
Cr 0.0000 0.0000 0.0000  12 Pd 3.16, 4 Pr 3.31
Pd 0.6256 0.6256 0.1232  6 Pd 2.69-2.71
Pd 0.6256 0.1232 0.6256  6 Pd 2.69-2.71
Pd 0.6256 0.6256 0.6256  6 Pd 2.69-2.71
Pd 0.1232 0.6256 0.6256  6 Pd 2.69-2.71

Record 2
Crystalline Ac2Sm3Dy3 at its relaxed geometry. Source: Alexandria, functional PBE-GGA.

Results
Formation energy from the elements, meV per atom: 158
Raw total energy, eV per atom: -4.365

Unit cell a=3.7915 b=8.9861 c=17.6353 alpha=90.00 beta=90.00 gamma=102.18
Last column: nearest neighbours and their distance in Å.
Element x y z (fractional)
Ac 0.7485 0.4969 0.6055  4 Sm 3.45-3.77, 2 Ac 3.79
Ac 0.2515 0.5031 0.1055  4 Sm 3.45-3.77, 2 Ac 3.79
Ac 0.7485 0.4969 0.8945  4 Sm 3.45-3.77, 2 Ac 3.79
Ac 0.2515 0.5031 0.3945  4 Sm 3.45-3.77, 2 Ac 3.79
Sm 0.5921 0.1841 0.0410  5 Dy 3.35-3.69, 1 Sm 3.54, 2 Ac 3.57
Sm 0.4079 0.8159 0.5410  5 Dy 3.35-3.69, 1 Sm 3.54, 2 Ac 3.57
Sm 0.5921 0.1841 0.4590  5 Dy 3.35-3.69, 1 Sm 3.54, 2 Ac 3.57
Sm 0.4079 0.8159 0.9590  5 Dy 3.35-3.69, 1 Sm 3.54, 2 Ac 3.57
Sm 0.3840 0.7680 0.2500  5 Dy 3.25-3.62, 2 Ac 3.45
Sm 0.6160 0.2320 0.7500  5 Dy 3.25-3.62, 2 Ac 3.45
Dy 0.9556 0.9112 0.1182  6 Sm 3.25-3.49
Dy 0.0444 0.0888 0.6182  6 Sm 3.25-3.49
Dy 0.9556 0.9112 0.3818  6 Sm 3.25-3.49
Dy 0.0444 0.0888 0.8818  6 Sm 3.25-3.49
Dy 0.5898 0.1796 0.2500  3 Sm 3.62-3.69, 6 Dy 3.79-3.81
Dy 0.4102 0.8204 0.7500  3 Sm 3.62-3.69, 6 Dy 3.79-3.81

Record 3
Crystalline TbCdPd2 at its relaxed geometry. Source: Alexandria, functional PBE-GGA.

Results
Formation energy from the elements, meV per atom: -657
Excess energy over the best structure of this formula in the dataset, eV/atom: 0.0728
Raw total energy, eV per atom: -4.640

Unit cell a=3.4779 b=4.7359 c=4.7359 alpha=90.00 beta=90.00 gamma=90.00
Last column: nearest neighbours and their distance in Å.
Element x y z (fractional)
Tb 0.5000 0.5000 0.5000  8 Pd 2.94
Pd 0.0000 0.0000 0.5000  4 Cd 2.94, 4 Tb 2.94
Pd 0.0000 0.5000 0.0000  4 Cd 2.94, 4 Tb 2.94
Cd 0.5000 0.0000 0.0000  8 Pd 2.94

Record 4
Crystalline NpCo4Rh at its relaxed geometry. Source: Alexandria, functional PBE-GGA.

Results
Formation energy from the elements, meV per atom: -61
Raw total energy, eV per atom: -8.180

Unit cell a=4.8594 b=4.8594 c=4.8594 alpha=60.00 beta=60.00 gamma=60.00
Last column: nearest neighbours and their distance in Å.
Element x y z (fractional)
Np 0.2500 0.2500 0.2500  12 Co 2.85, 4 Rh 2.98
Co 0.6261 0.6261 0.1218  6 Co 2.41-2.45
Co 0.6261 0.1218 0.6261  6 Co 2.41-2.45
Co 0.6261 0.6261 0.6261  6 Co 2.41-2.45
Co 0.1218 0.6261 0.6261  6 Co 2.41-2.45
Rh 0.0000 0.0000 0.0000  12 Co 2.85, 4 Np 2.98

Record 5
Crystalline RbAg4Sb at its relaxed geometry. Source: Alexandria, functional PBE-GGA.

Results
Uncorrected formation energy, eV/atom: 0.0508
Raw total energy, eV per atom: -2.698

Unit cell a=5.8142 b=5.8142 c=5.8142 alpha=60.00 beta=60.00 gamma=60.00
Last column: nearest neighbours and their distance in Å.
Element x y z (fractional)
Sb 0.2500 0.2500 0.2500  12 Ag 3.41, 4 Rb 3.56
Rb 0.0000 0.0000 0.0000  12 Ag 3.41, 4 Sb 3.56
Ag 0.6252 0.6252 0.1246  6 Ag 2.90-2.91
Ag 0.6252 0.1246 0.6252  6 Ag 2.90-2.91
Ag 0.6252 0.6252 0.6252  6 Ag 2.90-2.91
Ag 0.1246 0.6252 0.6252  6 Ag 2.90-2.91

Record 6
Crystalline Tm4AgS2 at its relaxed geometry. Source: Alexandria, functional PBE-GGA.

Results
Uncorrected formation energy, eV/atom: -1.2144
Raw total energy, eV per atom: -5.356

Unit cell a=3.8384 b=6.5897 c=13.4439 alpha=90.00 beta=90.00 gamma=106.93
Last column: nearest neighbours and their distance in Å.
Element x y z (fractional)
Tm 0.7736 0.5471 0.1199  3 S 2.66-2.70, 2 Ag 2.98
Tm 0.7736 0.5471 0.3801  3 S 2.66-2.70, 2 Ag 2.98
Tm 0.2264 0.4529 0.8801  3 S 2.66-2.70, 2 Ag 2.98
Tm 0.2264 0.4529 0.6199  3 S 2.66-2.70, 2 Ag 2.98
Tm 0.9357 0.8715 0.7500  2 S 2.72, 2 Ag 2.92
Tm 0.0643 0.1285 0.2500  2 S 2.72, 2 Ag 2.92
Tm 0.5000 0.0000 0.0000  4 S 2.71
Tm 0.5000 0.0000 0.5000  4 S 2.71
Ag 0.6103 0.2206 0.7500  6 Tm 2.92-2.98
Ag 0.3897 0.7794 0.2500  6 Tm 2.92-2.98
S 0.1372 0.2745 0.4404  6 Tm 2.66-2.72
S 0.8628 0.7255 0.9404  6 Tm 2.66-2.72
S 0.1372 0.2745 0.0596  6 Tm 2.66-2.72
S 0.8628 0.7255 0.5596  6 Tm 2.66-2.72